The following is a PBE calculation of a geometry-optimized Nd3YHo structure, from Alexandria via LeMat-Bulk.

Cell lengths 19.945, 12.243, 5.838 Å; angles 90.00, 107.01, 90.00 degrees
Space group C2/c (No. 15)
Unique sites:
Nd (0.095, 0.157, 0.344)
Nd (0.095, 0.341, 0.845)
Nd (0.195, 0.393, 0.446)
Y (0.196, 0.106, 0.945)
Ho (0.000, 0.089, 0.750)
Ho (0.000, 0.412, 0.250)

Energy relative to the elements ... 0.0683 eV/atom
VASP energy ... -5.001 eV/atom
D(E_F) ... 1.55 states/eV/atom